# Ce2CdFe

An optimized crystal structure of Ce2CdFe (PBE, Alexandria).

Geometry as POSCAR:
```
Ce2CdFe
1.0
3.1723 0.0000 0.0000
0.0000 3.1723 0.0000
0.0000 0.0000 8.7922
Ce Cd Fe
2 1 1
Direct
0.0000 0.0000 0.2004
0.0000 0.0000 0.7996
0.5000 0.5000 0.5000
0.5000 0.5000 0.0000
```

ΔE_f = -70 meV/atom
distance to the lowest polymorph of the same formula = 0 meV per atom
DFT total energy = -5.381 eV/atom
SG = P4/mmm

---

# LaTc2Ni2

An optimized crystal structure of LaTc2Ni2 (PBE, Alexandria).

Geometry as POSCAR:
```
LaTc2Ni2
1.0
7.5866 0.0000 0.0000
0.0000 7.5866 0.0000
0.0000 0.0000 2.7811
La Tc Ni
2 4 4
Direct
0.0000 0.0000 0.0000
0.5000 0.5000 0.0000
0.1151 0.3849 0.0000
0.3849 0.8849 0.0000
0.6151 0.1151 0.0000
0.8849 0.6151 0.0000
0.1771 0.6771 0.5000
0.3229 0.1771 0.5000
0.6771 0.8229 0.5000
0.8229 0.3229 0.5000
```

ΔE_f = 204 meV/atom
distance to the lowest polymorph of the same formula = 179 meV per atom
DFT total energy = -7.240 eV/atom
SG = P4/mbm